<one>
Here is crystalline Tb2Sm3Ho6 at its relaxed geometry from Alexandria. Energies are from PBE-GGA.

extended XYZ file:
```
11
Lattice="-2.366 2.366 16.592 2.366 -2.366 16.592 2.366 2.366 -16.592" Properties=species:S:1:pos:R:3 pbc="T T T"
Tb 0.000 0.000 1.528
Tb 0.000 0.000 31.655
Sm 0.000 0.000 9.885
Sm 0.000 0.000 16.592
Sm 0.000 0.000 23.298
Ho 2.366 0.000 4.011
Ho 0.000 0.000 6.446
Ho 2.366 0.000 12.580
Ho 0.000 2.366 4.011
Ho 0.000 0.000 26.737
Ho 0.000 2.366 12.580
```

Properties
Magnetic moment ... 0.00 μB/cell
Density of states at the Fermi level ... 17.15 states/eV/f.u.

<two>
Here is crystalline Tb2Sm3Ho6 at its relaxed geometry from Alexandria. Energies are from PBE-GGA.

extended XYZ file:
```
11
Lattice="1.780 1.028 31.835 -1.780 1.028 31.835 0.000 -2.055 31.835" Properties=species:S:1:pos:R:3 pbc="T T T"
Tb 0.000 0.000 4.305
Tb 0.000 0.000 91.199
Sm 0.000 0.000 21.744
Sm 0.000 0.000 47.752
Sm 0.000 0.000 73.760
Ho 0.000 0.000 13.004
Ho 0.000 0.000 30.406
Ho 0.000 0.000 39.013
Ho 0.000 0.000 56.492
Ho 0.000 0.000 65.098
Ho 0.000 0.000 82.500
```

Properties
Magnetic moment ... 0.00 μB/cell
Density of states at the Fermi level ... 13.76 states/eV/f.u.

It comes down to <two>, which is 259 meV per atom more stable than the next structure.

<one>
Here is crystalline Tb2Sm3Ho2 at its relaxed geometry from Alexandria. Energies are from PBE-GGA.

extended XYZ file:
```
7
Lattice="3.579 0.000 0.000 -1.776 5.933 0.000 -0.012 -1.099 10.676" Properties=species:S:1:pos:R:3 pbc="T T T"
Tb 0.000 2.157 3.820
Tb 1.790 2.677 6.856
Sm -0.002 3.223 9.914
Sm 1.783 -0.550 5.338
Sm 1.793 1.611 0.762
Ho -0.008 -0.010 8.381
Ho 1.799 4.844 2.295
```

Properties
Magnetic moment ... 0.00 μB/cell
Density of states at the Fermi level ... 8.96 states/eV/f.u.

<two>
Here is crystalline Tb2Sm3Ho2 at its relaxed geometry from Alexandria. Energies are from PBE-GGA.

extended XYZ file:
```
7
Lattice="8.744 -1.755 0.000 8.744 1.755 0.000 -4.166 0.000 7.499" Properties=species:S:1:pos:R:3 pbc="T T T"
Tb 1.195 0.000 2.425
Tb 12.127 0.000 5.073
Sm -2.083 0.000 3.749
Sm 0.377 0.000 6.011
Sm 12.946 0.000 1.487
Ho 7.233 0.000 0.687
Ho 6.089 0.000 6.811
```

Properties
Magnetic moment ... 0.00 μB/cell
Density of states at the Fermi level ... 10.60 states/eV/f.u.

It comes down to <one>, which is 94 meV per atom more stable than the next structure.

<one>
Here is crystalline Tb2SmHo7 at its relaxed geometry from Alexandria. Energies are from PBE-GGA.

extended XYZ file:
```
10
Lattice="4.424 -8.319 0.000 4.424 8.319 0.000 -3.310 0.000 4.285" Properties=species:S:1:pos:R:3 pbc="T T T"
Tb 4.424 5.007 0.000
Tb 4.424 -5.007 0.000
Sm 2.768 0.000 2.142
Ho 0.000 0.000 0.000
Ho -0.274 1.816 3.210
Ho 2.768 3.330 2.142
Ho -0.274 -1.816 3.210
Ho 5.811 1.816 1.074
Ho 2.768 -3.330 2.142
Ho 5.811 -1.816 1.074
```

Properties
Magnetic moment ... 0.00 μB/cell
Density of states at the Fermi level ... 17.06 states/eV/f.u.

<two>
Here is crystalline Tb2SmHo7 at its relaxed geometry from Alexandria. Energies are from PBE-GGA.

extended XYZ file:
```
10
Lattice="4.336 -8.420 0.000 4.336 8.420 0.000 0.000 0.000 5.306" Properties=species:S:1:pos:R:3 pbc="T T T"
Tb 4.336 5.027 0.000
Tb 4.336 -5.027 0.000
Sm 4.336 0.000 2.653
Ho 0.000 0.000 0.000
Ho 2.793 1.875 0.000
Ho 4.336 3.390 2.653
Ho 2.793 -1.875 0.000
Ho 5.879 1.875 0.000
Ho 4.336 -3.390 2.653
Ho 5.879 -1.875 0.000
```

Properties
Magnetic moment ... 0.00 μB/cell
Density of states at the Fermi level ... 14.62 states/eV/f.u.

It comes down to <one>, which is 655 meV per atom more stable than the next structure.

<one>
Here is crystalline TbSm4Ho4 at its relaxed geometry from Alexandria. Energies are from PBE-GGA.

extended XYZ file:
```
9
Lattice="-5.365 5.365 2.522 5.365 -5.365 2.522 5.365 5.365 -2.522" Properties=species:S:1:pos:R:3 pbc="T T T"
Tb 0.000 0.000 0.000
Sm 3.557 0.000 0.000
Sm 7.172 0.000 0.000
Sm 0.000 3.557 0.000
Sm 0.000 7.172 0.000
Ho 3.582 3.582 0.000
Ho 1.783 -1.783 2.522
Ho -1.783 1.783 2.522
Ho 1.783 1.783 2.522
```

Properties
Magnetic moment ... 0.00 μB/cell
Density of states at the Fermi level ... 13.04 states/eV/f.u.

<two>
Here is crystalline TbSm4Ho4 at its relaxed geometry from Alexandria. Energies are from PBE-GGA.

extended XYZ file:
```
9
Lattice="8.393 -2.788 0.000 8.393 2.788 0.000 -2.658 0.000 6.274" Properties=species:S:1:pos:R:3 pbc="T T T"
Tb 0.000 0.000 0.000
Sm 2.910 0.000 1.803
Sm 6.052 0.000 0.239
Sm 8.076 0.000 6.035
Sm 11.218 0.000 4.470
Ho 0.334 0.000 4.287
Ho 5.519 0.000 3.893
Ho 8.610 0.000 2.380
Ho 13.794 0.000 1.987
```

Properties
Magnetic moment ... 0.00 μB/cell
Density of states at the Fermi level ... 15.16 states/eV/f.u.

It comes down to <one>, which is 88 meV per atom more stable than the next structure.

<one>
Here is crystalline TbSm7Ho4 at its relaxed geometry from Alexandria. Energies are from PBE-GGA.

extended XYZ file:
```
12
Lattice="6.267 0.000 0.000 0.005 7.232 0.000 2.085 0.001 8.666" Properties=species:S:1:pos:R:3 pbc="T T T"
Tb 0.000 0.000 0.000
Sm 0.003 3.616 0.000
Sm 2.087 0.000 2.898
Sm 3.139 1.816 5.766
Sm 5.216 5.411 8.659
Sm 3.142 1.822 0.007
Sm 5.219 5.418 2.900
Sm 6.271 7.233 5.768
Ho 2.081 3.616 2.902
Ho 3.138 5.411 5.777
Ho 5.220 1.822 2.889
Ho 6.277 3.617 5.764
```

Properties
Magnetic moment ... 0.00 μB/cell
Density of states at the Fermi level ... 15.09 states/eV/f.u.

<two>
Here is crystalline TbSm7Ho4 at its relaxed geometry from Alexandria. Energies are from PBE-GGA.

extended XYZ file:
```
12
Lattice="6.021 -2.984 0.000 6.021 2.984 0.000 -6.008 0.000 11.224" Properties=species:S:1:pos:R:3 pbc="T T T"
Tb 0.000 0.000 0.000
Sm -1.436 0.000 5.596
Sm 1.209 0.000 3.612
Sm 3.015 0.000 0.883
Sm 6.021 0.000 0.000
Sm 3.020 0.000 10.341
Sm 4.826 0.000 7.611
Sm 7.471 0.000 5.628
Ho -3.024 0.000 8.709
Ho 1.157 0.000 7.641
Ho 4.878 0.000 3.583
Ho 9.059 0.000 2.515
```

Properties
Magnetic moment ... 0.00 μB/cell
Density of states at the Fermi level ... 17.75 states/eV/f.u.

It comes down to <one>, which is 264 meV per atom more stable than the next structure.

<one>
Here is crystalline Tb9SmHo2 at its relaxed geometry from Alexandria. Energies are from PBE-GGA.

extended XYZ file:
```
12
Lattice="11.255 0.000 0.000 -5.627 9.747 0.000 0.000 0.000 3.505" Properties=species:S:1:pos:R:3 pbc="T T T"
Tb -2.814 4.873 0.000
Tb 0.000 3.450 1.753
Tb -2.640 8.022 1.753
Tb 2.988 1.725 1.753
Tb 5.627 0.000 0.000
Tb 2.814 4.873 0.000
Tb 2.640 8.022 1.753
Tb 8.267 1.725 1.753
Tb 5.627 6.297 1.753
Sm 0.000 0.000 0.000
Ho 0.000 6.498 0.000
Ho 5.627 3.249 0.000
```

Properties
Magnetic moment ... 0.00 μB/cell
Density of states at the Fermi level ... 15.74 states/eV/f.u.

<two>
Here is crystalline Tb9SmHo2 at its relaxed geometry from Alexandria. Energies are from PBE-GGA.

extended XYZ file:
```
12
Lattice="5.034 0.000 0.000 0.000 5.034 0.000 0.000 0.000 15.105" Properties=species:S:1:pos:R:3 pbc="T T T"
Tb 0.000 0.000 0.000
Tb 0.000 0.000 5.051
Tb 0.000 0.000 10.054
Tb 0.000 2.517 2.540
Tb 0.000 2.517 7.552
Tb 0.000 2.517 12.565
Tb 2.517 0.000 2.540
Tb 2.517 0.000 7.552
Tb 2.517 0.000 12.565
Sm 2.517 2.517 0.000
Ho 2.517 2.517 5.047
Ho 2.517 2.517 10.058
```

Properties
Magnetic moment ... 0.00 μB/cell
Density of states at the Fermi level ... 18.40 states/eV/f.u.

It comes down to <two>, which is 21 meV per atom more stable than the next structure.